Record 1
A plane-wave DFT calculation with PBE-GGA was carried out for a relaxed TbAgAu crystal.

Values from the calculation:
For the magnetization, the calculation gives 0.00 Bohr magnetons per cell. As for the space group: No. 107. The value obtained for the energy of formation from the pure elements is -0.62 eV/atom. The final energy comes out at -4.19 eV/atom. The calculation puts the energy above the most stable polymorph in this dataset at 6 meV/atom. The density is 12.0 g/cm³.

The structure in POSCAR format:
```
TbAgAu
1.0
-1.8762 1.8762 4.5570
1.8762 -1.8762 4.5570
1.8762 1.8762 -4.5570
Au Ag Tb
1 1 1
direct
0.6647 0.6647 0.0000
0.3310 0.3310 0.0000
0.0043 0.0043 0.0000
```



Record 2
A plane-wave DFT calculation with PBE-GGA was carried out for a relaxed TbY2Zn3AgAu2 crystal.

Values from the calculation:
For the magnetization, the calculation gives 0.00 Bohr magnetons per cell. As for the space group: No. 38. The value obtained for the energy of formation from the pure elements is -0.58 eV/atom. The final energy comes out at -4.00 eV/atom. The density is 9.0 g/cm³.

The structure in POSCAR format:
```
TbY2Zn3AgAu2
1.0
-1.9944 -0.1756 -3.2758
-2.6291 -6.8086 1.9656
-3.7965 6.2297 1.9774
Y Au Ag Tb Zn
2 2 1 1 3
direct
0.0000 0.0001 0.4057
0.0000 0.4057 0.0001
0.5000 0.6665 0.3336
0.5000 0.3336 0.6665
0.0000 0.9996 0.9996
0.0000 0.5943 0.5943
0.5000 0.2585 0.2585
0.5000 0.0006 0.7410
0.5000 0.7410 0.0006
```



Record 3
A plane-wave DFT calculation with PBE-GGA was carried out for a relaxed TcAgAu2 crystal.

Values from the calculation:
For the magnetization, the calculation gives 2.55 Bohr magnetons per cell. As for the space group: No. 216. The value obtained for the energy of formation from the pure elements is 0.45 eV/atom. The final energy comes out at -4.48 eV/atom. The density is 14.3 g/cm³.

The structure in POSCAR format:
```
TcAgAu2
1.0
2.3083 1.3327 3.7695
-2.3083 1.3327 3.7695
0.0000 -2.6654 3.7695
Au Ag Tc
2 1 1
direct
0.5000 0.5000 0.5000
0.7500 0.7500 0.7500
0.2500 0.2500 0.2500
0.0000 0.0000 0.0000
```



Record 4
A plane-wave DFT calculation with PBE-GGA was carried out for a relaxed AgTeAu2 crystal.

Values from the calculation:
As for the space group: No. 216. The final energy comes out at -2.94 eV/atom. The density is 12.6 g/cm³.

The structure in POSCAR format:
```
AgTeAu2
1.0
0.0000 3.4631 3.4631
3.4631 0.0000 3.4631
3.4631 3.4631 0.0000
Au Ag Te
2 1 1
direct
0.2500 0.2500 0.2500
0.0000 0.0000 0.0000
0.5000 0.5000 0.5000
0.7500 0.7500 0.7500
```



Record 5
A plane-wave DFT calculation with PBE-GGA was carried out for a relaxed AgTe2Au crystal.

Values from the calculation:
As for the space group: No. 216. The final energy comes out at -2.74 eV/atom. The density is 9.8 g/cm³.

The structure in POSCAR format:
```
AgTe2Au
1.0
0.9186 -0.1509 5.0312
-3.8824 0.2958 3.3195
-1.3545 -4.1129 2.7257
Te Au Ag
2 1 1
direct
0.2500 0.2500 0.2500
0.0000 0.0000 0.0000
0.5000 0.5000 0.5000
0.7500 0.7500 0.7500
```



Record 6
A plane-wave DFT calculation with PBE-GGA was carried out for a relaxed AgTe5Au3 crystal.

Values from the calculation:
As for the space group: No. 191. The final energy comes out at -2.88 eV/atom. The density is 9.0 g/cm³.

The structure in POSCAR format:
```
AgTe5Au3
1.0
5.6944 0.0000 0.0000
-2.8472 4.9315 0.0000
0.0000 0.0000 8.8208
Au Te Ag
3 5 1
direct
0.0000 0.5000 0.5000
0.5000 0.5000 0.5000
0.5000 0.0000 0.5000
0.6667 0.3333 0.1637
0.6667 0.3333 0.8363
0.3333 0.6667 0.1637
0.0000 0.0000 0.5000
0.3333 0.6667 0.8363
0.0000 0.0000 0.0000
```